#A
DFT (PBE-GGA) results for a relaxed ZrBiNF2 crystal.

CIF file:
```
data_ZrBiNF2
_chemical_formula_sum 'Zr1 Bi1 N1 F2'
_cell_length_a 4.3259
_cell_length_b 4.3259
_cell_length_c 4.3354
_cell_angle_alpha 90.00
_cell_angle_beta 90.00
_cell_angle_gamma 90.00
_space_group_name_H-M_alt 'P 4/m m m'
_space_group_IT_number 123
_space_group_name_Hall '-P 4 2'
loop_
_atom_site_label
_atom_site_type_symbol
_atom_site_fract_x
_atom_site_fract_y
_atom_site_fract_z
_atom_site_occupancy
Zr1 Zr 0.0000 0.0000 0.0000 1
Bi1 Bi 0.5000 0.5000 0.5000 1
N1 N 0.0000 0.0000 0.5000 1
F1 F 0.0000 0.5000 0.0000 1
```

=====

#B
DFT (PBE-GGA) results for a relaxed ZrBiNF2 crystal.

CIF file:
```
data_ZrBiNF2
_chemical_formula_sum 'Zr1 Bi1 N1 F2'
_cell_length_a 4.4663
_cell_length_b 4.4663
_cell_length_c 4.6759
_cell_angle_alpha 90.00
_cell_angle_beta 90.00
_cell_angle_gamma 90.00
_space_group_name_H-M_alt 'P 4/m m m'
_space_group_IT_number 123
_space_group_name_Hall '-P 4 2'
loop_
_atom_site_label
_atom_site_type_symbol
_atom_site_fract_x
_atom_site_fract_y
_atom_site_fract_z
_atom_site_occupancy
Zr1 Zr 0.0000 0.0000 0.0000 1
Bi1 Bi 0.5000 0.5000 0.5000 1
N1 N 0.5000 0.5000 0.0000 1
F1 F 0.0000 0.5000 0.5000 1
```

=====

The structure with the greatest stability is #A.

=====

#A
DFT (PBE-GGA) results for a relaxed ZrBiN2F crystal.

CIF file:
```
data_ZrBiN2F
_chemical_formula_sum 'Zr1 Bi1 N2 F1'
_cell_length_a 4.3992
_cell_length_b 4.3992
_cell_length_c 4.2321
_cell_angle_alpha 90.00
_cell_angle_beta 90.00
_cell_angle_gamma 90.00
_space_group_name_H-M_alt 'P 4/m m m'
_space_group_IT_number 123
_space_group_name_Hall '-P 4 2'
loop_
_atom_site_label
_atom_site_type_symbol
_atom_site_fract_x
_atom_site_fract_y
_atom_site_fract_z
_atom_site_occupancy
Zr1 Zr 0.0000 0.0000 0.0000 1
Bi1 Bi 0.5000 0.5000 0.5000 1
N1 N 0.0000 0.5000 0.5000 1
F1 F 0.5000 0.5000 0.0000 1
```

=====

#B
DFT (PBE-GGA) results for a relaxed ZrBiN2F crystal.

CIF file:
```
data_ZrBiN2F
_chemical_formula_sum 'Zr1 Bi1 N2 F1'
_cell_length_a 4.3596
_cell_length_b 4.3596
_cell_length_c 4.0838
_cell_angle_alpha 90.00
_cell_angle_beta 90.00
_cell_angle_gamma 90.00
_space_group_name_H-M_alt 'P 4/m m m'
_space_group_IT_number 123
_space_group_name_Hall '-P 4 2'
loop_
_atom_site_label
_atom_site_type_symbol
_atom_site_fract_x
_atom_site_fract_y
_atom_site_fract_z
_atom_site_occupancy
Zr1 Zr 0.0000 0.0000 0.0000 1
Bi1 Bi 0.5000 0.5000 0.5000 1
N1 N 0.0000 0.5000 0.0000 1
F1 F 0.0000 0.0000 0.5000 1
```

=====

The structure with the greatest stability is #B.

=====

#A
DFT (PBE-GGA) results for a relaxed Na3BiF6 crystal.

CIF file:
```
data_Na3BiF6
_chemical_formula_sum 'Na3 Bi1 F6'
_cell_length_a 6.1409
_cell_length_b 6.5620
_cell_length_c 6.5629
_cell_angle_alpha 64.16
_cell_angle_beta 64.70
_cell_angle_gamma 64.66
_space_group_name_H-M_alt 'P -1'
_space_group_IT_number 2
loop_
_space_group_symop_operation_xyz
'x,y,z'
'-x,-y,-z'
loop_
_atom_site_label
_atom_site_type_symbol
_atom_site_fract_x
_atom_site_fract_y
_atom_site_fract_z
_atom_site_occupancy
Na1 Na 0.0000 0.0000 0.0000 1
Na2 Na 0.0000 0.0000 0.5000 1
Na3 Na 0.0000 0.5000 0.0000 1
Bi1 Bi 0.5000 0.5000 0.5000 1
F1 F 0.2295 0.2818 0.7595 1
F2 F 0.2318 0.7416 0.7420 1
F3 F 0.2320 0.7622 0.2796 1
```

=====

#B
DFT (PBE-GGA) results for a relaxed Na3BiF6 crystal.

CIF file:
```
data_Na3BiF6
_chemical_formula_sum 'Na6 Bi2 F12'
_cell_length_a 5.9474
_cell_length_b 6.0210
_cell_length_c 10.3948
_cell_angle_alpha 90.00
_cell_angle_beta 123.43
_cell_angle_gamma 90.00
_space_group_name_H-M_alt 'P 1 21/c 1'
_space_group_IT_number 14
loop_
_space_group_symop_operation_xyz
'x,y,z'
'-x,-y,-z'
'-x,y+1/2,-z+1/2'
'x,-y+1/2,z+1/2'
loop_
_atom_site_label
_atom_site_type_symbol
_atom_site_fract_x
_atom_site_fract_y
_atom_site_fract_z
_atom_site_occupancy
Na1 Na 0.0000 0.0000 0.0000 1
Na2 Na 0.2184 0.0472 0.7254 1
Bi1 Bi 0.5000 0.0000 0.5000 1
F1 F 0.1238 0.1756 0.4523 1
F2 F 0.2239 0.6951 0.4030 1
F3 F 0.4005 0.0957 0.2607 1
```

=====

The structure with the greatest stability is #B.

=====

#A
DFT (PBE-GGA) results for a relaxed NaBiF2 crystal.

CIF file:
```
data_NaBiF2
_chemical_formula_sum 'Na4 Bi4 F8'
_cell_length_a 5.8678
_cell_length_b 5.8678
_cell_length_c 9.0854
_cell_angle_alpha 90.00
_cell_angle_beta 90.00
_cell_angle_gamma 90.00
_space_group_name_H-M_alt 'I -4 2 d'
_space_group_IT_number 122
_space_group_name_Hall 'I -4 2bw'
loop_
_atom_site_label
_atom_site_type_symbol
_atom_site_fract_x
_atom_site_fract_y
_atom_site_fract_z
_atom_site_occupancy
Na1 Na 0.0000 0.0000 0.0000 1
Bi1 Bi 0.0000 0.0000 0.5000 1
F1 F 0.1902 0.2500 0.1250 1
```

=====

#B
DFT (PBE-GGA) results for a relaxed NaBiF2 crystal.

CIF file:
```
data_NaBiF2
_chemical_formula_sum 'Na4 Bi4 F8'
_cell_length_a 6.5047
_cell_length_b 6.5047
_cell_length_c 6.5047
_cell_angle_alpha 90.00
_cell_angle_beta 90.00
_cell_angle_gamma 90.00
_space_group_name_H-M_alt 'F m -3 m'
_space_group_IT_number 225
_space_group_name_Hall '-F 4 2 3'
loop_
_atom_site_label
_atom_site_type_symbol
_atom_site_fract_x
_atom_site_fract_y
_atom_site_fract_z
_atom_site_occupancy
Na1 Na 0.0000 0.0000 0.0000 1
Bi1 Bi 0.0000 0.0000 0.5000 1
F1 F 0.2500 0.2500 0.2500 1
```

=====

The structure with the greatest stability is #A.

=====

#A
DFT (PBE-GGA) results for a relaxed NaBiF2 crystal.

CIF file:
```
data_NaBiF2
_chemical_formula_sum 'Na3 Bi3 F6'
_cell_length_a 3.4823
_cell_length_b 3.4823
_cell_length_c 21.2119
_cell_angle_alpha 90.00
_cell_angle_beta 90.00
_cell_angle_gamma 120.00
_space_group_name_H-M_alt 'R -3 m'
_space_group_IT_number 166
_space_group_name_Hall '-R 3 2"'
loop_
_atom_site_label
_atom_site_type_symbol
_atom_site_fract_x
_atom_site_fract_y
_atom_site_fract_z
_atom_site_occupancy
Na1 Na 0.0000 0.0000 0.0000 1
Bi1 Bi 0.0000 0.0000 0.5000 1
F1 F 0.0000 0.0000 0.3911 1
```

=====

#B
DFT (PBE-GGA) results for a relaxed NaBiF2 crystal.

CIF file:
```
data_NaBiF2
_chemical_formula_sum 'Na3 Bi3 F6'
_cell_length_a 3.3867
_cell_length_b 3.3867
_cell_length_c 24.2376
_cell_angle_alpha 90.00
_cell_angle_beta 90.00
_cell_angle_gamma 120.00
_space_group_name_H-M_alt 'R -3 m'
_space_group_IT_number 166
_space_group_name_Hall '-R 3 2"'
loop_
_atom_site_label
_atom_site_type_symbol
_atom_site_fract_x
_atom_site_fract_y
_atom_site_fract_z
_atom_site_occupancy
Na1 Na 0.0000 0.0000 0.0000 1
Bi1 Bi 0.0000 0.0000 0.5000 1
F1 F 0.0000 0.0000 0.0852 1
```

=====

The structure with the greatest stability is #A.

=====

#A
DFT (PBE-GGA) results for a relaxed Na6BiF12 crystal.

CIF file:
```
data_Na6BiF12
_chemical_formula_sum 'Na18 Bi3 F36'
_cell_length_a 10.2473
_cell_length_b 10.2473
_cell_length_c 9.7779
_cell_angle_alpha 90.00
_cell_angle_beta 90.00
_cell_angle_gamma 120.00
_space_group_name_H-M_alt 'R -3'
_space_group_IT_number 148
_space_group_name_Hall '-R 3'
loop_
_atom_site_label
_atom_site_type_symbol
_atom_site_fract_x
_atom_site_fract_y
_atom_site_fract_z
_atom_site_occupancy
Na1 Na 0.0172 0.7846 0.1288 1
Bi1 Bi 0.0000 0.0000 0.5000 1
F1 F 0.0152 0.7925 0.8945 1
F2 F 0.0177 0.8443 0.3812 1
```

=====

#B
DFT (PBE-GGA) results for a relaxed Na6BiF12 crystal.

CIF file:
```
data_Na6BiF12
_chemical_formula_sum 'Na12 Bi2 F24'
_cell_length_a 7.9268
_cell_length_b 7.9268
_cell_length_c 7.9268
_cell_angle_alpha 90.00
_cell_angle_beta 90.00
_cell_angle_gamma 90.00
_space_group_name_H-M_alt 'I m -3'
_space_group_IT_number 204
_space_group_name_Hall '-I 2 2 3'
loop_
_atom_site_label
_atom_site_type_symbol
_atom_site_fract_x
_atom_site_fract_y
_atom_site_fract_z
_atom_site_occupancy
Na1 Na 0.0000 0.3316 0.5000 1
Bi1 Bi 0.0000 0.0000 0.0000 1
F1 F 0.0000 0.1451 0.2949 1
```

=====

The structure with the greatest stability is #A.

=====

#A
DFT (PBE-GGA) results for a relaxed NaBi3F crystal.

CIF file:
```
data_NaBi3F
_chemical_formula_sum 'Na1 Bi3 F1'
_cell_length_a 5.1599
_cell_length_b 5.1599
_cell_length_c 5.1599
_cell_angle_alpha 90.00
_cell_angle_beta 90.00
_cell_angle_gamma 90.00
_space_group_name_H-M_alt 'P m -3 m'
_space_group_IT_number 221
_space_group_name_Hall '-P 4 2 3'
loop_
_atom_site_label
_atom_site_type_symbol
_atom_site_fract_x
_atom_site_fract_y
_atom_site_fract_z
_atom_site_occupancy
Na1 Na 0.0000 0.0000 0.0000 1
Bi1 Bi 0.0000 0.5000 0.5000 1
F1 F 0.5000 0.5000 0.5000 1
```

=====

#B
DFT (PBE-GGA) results for a relaxed NaBi3F crystal.

CIF file:
```
data_NaBi3F
_chemical_formula_sum 'Na1 Bi3 F1'
_cell_length_a 5.4442
_cell_length_b 5.4442
_cell_length_c 5.4442
_cell_angle_alpha 90.00
_cell_angle_beta 90.00
_cell_angle_gamma 90.00
_space_group_name_H-M_alt 'P m -3 m'
_space_group_IT_number 221
_space_group_name_Hall '-P 4 2 3'
loop_
_atom_site_label
_atom_site_type_symbol
_atom_site_fract_x
_atom_site_fract_y
_atom_site_fract_z
_atom_site_occupancy
Na1 Na 0.0000 0.0000 0.0000 1
Bi1 Bi 0.0000 0.0000 0.5000 1
F1 F 0.5000 0.5000 0.5000 1
```

=====

The structure with the greatest stability is #A.

=====

#A
DFT (PBE-GGA) results for a relaxed Na2BiF8 crystal.

CIF file:
```
data_Na2BiF8
_chemical_formula_sum 'Na4 Bi2 F16'
_cell_length_a 5.6363
_cell_length_b 5.6363
_cell_length_c 10.4334
_cell_angle_alpha 90.00
_cell_angle_beta 90.00
_cell_angle_gamma 90.00
_space_group_name_H-M_alt 'I 4/m m m'
_space_group_IT_number 139
_space_group_name_Hall '-I 4 2'
loop_
_atom_site_label
_atom_site_type_symbol
_atom_site_fract_x
_atom_site_fract_y
_atom_site_fract_z
_atom_site_occupancy
Na1 Na 0.0000 0.5000 0.2500 1
Bi1 Bi 0.0000 0.0000 0.0000 1
F1 F 0.2211 0.2211 0.1186 1
```

=====

#B
DFT (PBE-GGA) results for a relaxed Na2BiF8 crystal.

CIF file:
```
data_Na2BiF8
_chemical_formula_sum 'Na2 Bi1 F8'
_cell_length_a 6.8892
_cell_length_b 6.8892
_cell_length_c 4.7087
_cell_angle_alpha 90.00
_cell_angle_beta 90.00
_cell_angle_gamma 120.00
_space_group_name_H-M_alt 'P -3'
_space_group_IT_number 147
loop_
_space_group_symop_operation_xyz
'x,y,z'
'-x,-y,-z'
'-y,x-y,z'
'y,-x+y,-z'
'-x+y,-x,z'
'x-y,x,-z'
loop_
_atom_site_label
_atom_site_type_symbol
_atom_site_fract_x
_atom_site_fract_y
_atom_site_fract_z
_atom_site_occupancy
Na1 Na 0.3333 0.6667 0.2418 1
Bi1 Bi 0.0000 0.0000 0.5000 1
F1 F 0.1406 0.2829 0.2549 1
F2 F 0.3333 0.6667 0.7443 1
```

=====

The structure with the greatest stability is #A.